Entry i
Ba2SrIr (PBE, optimized geometry); M_tot = 0.00 μB per cell
1.0
-1.1854 -0.5172 4.2904
6.8826 -3.4574 1.4848
7.0574 2.5728 2.2601
Sr Ir Ba
1 1 2
Direct
0.5000 0.7500 0.7500 Sr
0.5000 0.2500 0.2500 Ir
0.0000 0.1081 0.1081 Ba
0.0000 0.3919 0.3919 Ba

***

Entry ii
Ba2SrIr (PBE, optimized geometry); M_tot = 0.00 μB per cell
1.0
-4.0296 1.6749 -0.2620
-0.8033 -7.5099 0.8421
-0.1805 1.1684 10.2471
Ba Sr Ir
4 2 2
Direct
0.1515 0.3033 0.4276 Ba
0.8485 0.6967 0.5724 Ba
0.8485 0.6967 0.9276 Ba
0.1515 0.3033 0.0724 Ba
0.4041 0.8098 0.2500 Sr
0.5959 0.1902 0.7500 Sr
0.7602 0.5221 0.2500 Ir
0.2398 0.4779 0.7500 Ir

***

Which one is most stable, and which one is least stable? entry ii is the most stable of them, while entry i is the least stable.